Entry 1:
The following is a DFT calculation (PBE) of Er3GaI3 after structural relaxation.

a = 10.4816 Å, b = 10.4816 Å, c = 10.4816 Å
α = 109.47°, β = 109.47°, γ = 109.47°
Fractional positions:
Er 0.0184 0.0368 0.2684
Er 0.0184 0.4816 0.7500
Er 0.0368 0.2684 0.0184
Er 0.2316 0.2684 0.7500
Er 0.2316 0.4632 0.4816
Er 0.2684 0.0184 0.0368
Er 0.2684 0.7500 0.2316
Er 0.4632 0.4816 0.2316
Er 0.4816 0.2316 0.4632
Er 0.4816 0.7500 0.0184
Er 0.7500 0.0184 0.4816
Er 0.7500 0.2316 0.2684
Ga 0.0000 0.2500 0.5000
Ga 0.2500 0.2500 0.2500
Ga 0.2500 0.5000 0.0000
Ga 0.5000 0.0000 0.2500
I 0.2500 0.7566 0.7434
I 0.2500 0.9934 0.5066
I 0.5066 0.2500 0.9934
I 0.5066 0.7566 0.5131
I 0.5131 0.5066 0.7566
I 0.7434 0.2500 0.7566
I 0.7434 0.9934 0.9869
I 0.7566 0.5131 0.5066
I 0.7566 0.7434 0.2500
I 0.9869 0.7434 0.9934
I 0.9934 0.5066 0.2500
I 0.9934 0.9869 0.7434

Results
SG   I4_132
Raw formation energy   -972 meV per atom

Entry 2:
The following is a DFT calculation (PBE) of ErIn2GaI6 after structural relaxation.

a = 8.7373 Å, b = 8.7373 Å, c = 8.7373 Å
α = 57.79°, β = 57.79°, γ = 57.79°
Fractional positions:
Er 0.0000 0.0000 0.0000
In 0.3075 0.3075 0.3075
In 0.7998 0.7998 0.7998
Ga 0.5061 0.5061 0.5061
I 0.1337 0.3402 0.7545
I 0.2188 0.8754 0.6500
I 0.3402 0.7545 0.1337
I 0.6500 0.2188 0.8754
I 0.7545 0.1337 0.3402
I 0.8754 0.6500 0.2188

Results
SG   R3
Raw formation energy   -792 meV per atom

Entry 3:
The following is a DFT calculation (PBE) of ErInGa2I6 after structural relaxation.

a = 8.8330 Å, b = 8.8330 Å, c = 8.8330 Å
α = 55.35°, β = 55.35°, γ = 55.35°
Fractional positions:
Er 0.0000 0.0000 0.0000
In 0.5077 0.5077 0.5077
Ga 0.3223 0.3223 0.3223
Ga 0.8146 0.8146 0.8146
I 0.0887 0.3722 0.7565
I 0.1988 0.9307 0.6162
I 0.3722 0.7565 0.0887
I 0.6162 0.1988 0.9307
I 0.7565 0.0887 0.3722
I 0.9307 0.6162 0.1988

Results
SG   R3
Raw formation energy   -770 meV per atom

Entry 4:
The following is a DFT calculation (PBE) of K2ErGaI6 after structural relaxation.

a = 8.7496 Å, b = 8.7496 Å, c = 8.7496 Å
α = 58.32°, β = 58.32°, γ = 58.32°
Fractional positions:
K 0.0000 0.0000 0.0000
K 0.4912 0.4912 0.4912
Er 0.7009 0.7009 0.7009
Ga 0.2065 0.2065 0.2065
I 0.0372 0.4606 0.8389
I 0.3590 0.9256 0.5675
I 0.4606 0.8389 0.0372
I 0.5675 0.3590 0.9256
I 0.8389 0.0372 0.4606
I 0.9256 0.5675 0.3590

Results
SG   R3
Raw formation energy   -1209 meV per atom

Entry 5:
The following is a DFT calculation (PBE) of Na2ErGaI6 after structural relaxation.

a = 8.6317 Å, b = 8.6317 Å, c = 8.6317 Å
α = 55.35°, β = 55.35°, γ = 55.35°
Fractional positions:
Na 0.0000 0.0000 0.0000
Na 0.4899 0.4899 0.4899
Er 0.6796 0.6796 0.6796
Ga 0.1879 0.1879 0.1879
I 0.0592 0.4319 0.7758
I 0.2930 0.8939 0.5968
I 0.4319 0.7758 0.0592
I 0.5968 0.2930 0.8939
I 0.7758 0.0592 0.4319
I 0.8939 0.5968 0.2930

Results
SG   R3
Raw formation energy   -1111 meV per atom

Entry 6:
The following is a DFT calculation (PBE) of NaErGa2I6 after structural relaxation.

a = 8.5978 Å, b = 8.5978 Å, c = 8.5978 Å
α = 56.46°, β = 56.46°, γ = 56.46°
Fractional positions:
Na 0.0000 0.0000 0.0000
Er 0.4935 0.4935 0.4935
Ga 0.3044 0.3044 0.3044
Ga 0.8096 0.8096 0.8096
I 0.1190 0.7091 0.3928
I 0.2424 0.6078 0.8583
I 0.3928 0.1190 0.7091
I 0.6078 0.8583 0.2424
I 0.7091 0.3928 0.1190
I 0.8583 0.2424 0.6078

Results
SG   R3
Raw formation energy   -929 meV per atom

Entry 7:
The following is a DFT calculation (PBE) of Rb2ErGaI6 after structural relaxation.

a = 8.7137 Å, b = 8.7137 Å, c = 8.7137 Å
α = 60.06°, β = 60.06°, γ = 60.06°
Fractional positions:
Rb 0.0000 0.0000 0.0000
Rb 0.4932 0.4932 0.4932
Er 0.7752 0.7752 0.7752
Ga 0.2717 0.2717 0.2717
I 0.0142 0.4579 0.6161
I 0.0966 0.9320 0.5475
I 0.4579 0.6161 0.0142
I 0.5475 0.0966 0.9320
I 0.6161 0.0142 0.4579
I 0.9320 0.5475 0.0966

Results
SG   R3
Raw formation energy   -1223 meV per atom

Entry 8:
The following is a DFT calculation (PBE) of ErTl3Ga3I8 after structural relaxation.

a = 9.2164 Å, b = 9.2401 Å, c = 10.1949 Å
α = 63.27°, β = 63.17°, γ = 60.14°
Fractional positions:
Er 0.0000 0.0000 0.0000
Tl 0.0000 0.0000 0.5000
Tl 0.0000 0.5000 0.5000
Tl 0.5000 0.0000 0.5000
Ga 0.0000 0.5000 0.0000
Ga 0.5000 0.0000 0.0000
Ga 0.5000 0.5000 0.0000
I 0.2219 0.2215 0.7948
I 0.2217 0.7616 0.7947
I 0.2382 0.7786 0.2053
I 0.2578 0.2582 0.2265
I 0.7422 0.7418 0.7735
I 0.7618 0.2214 0.7947
I 0.7783 0.2384 0.2053
I 0.7781 0.7785 0.2052

Results
SG   P-1
Raw formation energy   -621 meV per atom

Entry 9:
The following is a DFT calculation (PBE) of ErTlGa2I6 after structural relaxation.

a = 8.2158 Å, b = 8.2216 Å, c = 8.8558 Å
α = 90.01°, β = 117.63°, γ = 119.97°
Fractional positions:
Er 0.0000 0.0000 0.0000
Tl 0.0166 0.5084 0.5251
Ga 0.6301 0.8150 0.4452
Ga 0.6455 0.3227 0.9685
I 0.1311 0.7574 0.2158
I 0.1315 0.9366 0.7459
I 0.4580 0.3733 0.2158
I 0.5512 0.6149 0.7459
I 0.8088 0.1943 0.7455
I 0.8423 0.0849 0.2159

Results
SG   P1
Raw formation energy   -813 meV per atom

Entry 10:
The following is a DFT calculation (PBE) of Er3In4Ga2 after structural relaxation.

a = 7.5521 Å, b = 7.5521 Å, c = 4.3510 Å
α = 90.00°, β = 90.00°, γ = 120.00°
Fractional positions:
Er 0.0000 0.4074 0.0000
Er 0.4074 0.0000 0.0000
Er 0.5926 0.5926 0.0000
In 0.0000 0.0000 0.0000
In 0.0000 0.7289 0.5000
In 0.2711 0.2711 0.5000
In 0.7289 0.0000 0.5000
Ga 0.3333 0.6667 0.5000
Ga 0.6667 0.3333 0.5000

Results
SG   P-62m
DFT formation energy   -0.39 eV/atom

Entry 11:
The following is a DFT calculation (PBE) of ErInGa after structural relaxation.

a = 4.2732 Å, b = 10.5592 Å, c = 6.0650 Å
α = 90.00°, β = 90.00°, γ = 90.00°
Fractional positions:
Er 0.0000 0.1921 0.2500
Er 0.0000 0.8079 0.7500
Er 0.5000 0.3079 0.7500
Er 0.5000 0.6921 0.2500
In 0.0000 0.5000 0.0000
In 0.0000 0.5000 0.5000
In 0.5000 0.0000 0.0000
In 0.5000 0.0000 0.5000
Ga 0.0000 0.1192 0.7500
Ga 0.0000 0.8808 0.2500
Ga 0.5000 0.3808 0.2500
Ga 0.5000 0.6192 0.7500

Results
SG   Cmcm
Excess energy over the best structure of this formula in the dataset   0 meV/atom
DFT formation energy   -0.46 eV/atom

Entry 12:
The following is a DFT calculation (PBE) of ErInGa after structural relaxation.

a = 3.4524 Å, b = 3.4524 Å, c = 11.7027 Å
α = 90.00°, β = 90.00°, γ = 90.00°
Fractional positions:
Er 0.0000 0.0000 0.0000
Er 0.5000 0.5000 0.5000
In 0.0000 0.0000 0.3079
In 0.5000 0.5000 0.8079
Ga 0.0000 0.0000 0.6600
Ga 0.5000 0.5000 0.1600

Results
SG   I4mm
Excess energy over the best structure of this formula in the dataset   169 meV/atom
DFT formation energy   -0.29 eV/atom

Spin magnetization, respectively: 0.00, 0.00, 0.00, 0.00, 0.00, 0.00, 0.00, 0.00, 0.00, 0.00, 0.00, 0.00 μB/f.u..
Raw total energy, respectively: -28.2, -30.3, -30.4, -31.2, -30.6, -30.5, -31.1, -42.5, -30.4, -34.2, -11.7, -11.2 eV per formula unit.